[1]
Computed, not measured: a geometry-optimized TlTcP2Cl structure at the PBE level of DFT.

Lattice parameters (Å, degrees): 5.1092 5.1092 5.2432 90.00 90.00 90.00
Fractional coordinates of all 5 atoms:
1 Tl 0.0000 0.0000 0.0000
2 Tc 0.5000 0.5000 0.5000
3 P 0.0000 0.5000 0.0000
4 P 0.5000 0.0000 0.0000
5 Cl 0.0000 0.0000 0.5000

Uncorrected energy (eV/cell): -17.80
Energy above the most stable polymorph in this dataset (meV per atom): 1481



[2]
Computed, not measured: a geometry-optimized TlTcPCl2 structure at the PBE level of DFT.

Lattice parameters (Å, degrees): 5.1113 5.1113 4.5673 90.00 90.00 90.00
Fractional coordinates of all 5 atoms:
1 Tl 0.0000 0.0000 0.0000
2 Tc 0.5000 0.5000 0.5000
3 P 0.5000 0.5000 0.0000
4 Cl 0.0000 0.5000 0.5000
5 Cl 0.5000 0.0000 0.5000

Uncorrected energy (eV/cell): -22.59
Energy above the most stable polymorph in this dataset (meV per atom): 0



[3]
Computed, not measured: a geometry-optimized TlTcPCl2 structure at the PBE level of DFT.

Lattice parameters (Å, degrees): 5.2191 5.2191 5.3418 90.00 90.00 90.00
Fractional coordinates of all 5 atoms:
1 Tl 0.0000 0.0000 0.0000
2 Tc 0.5000 0.5000 0.5000
3 P 0.0000 0.0000 0.5000
4 Cl 0.0000 0.5000 0.0000
5 Cl 0.5000 0.0000 0.0000

Uncorrected energy (eV/cell): -16.91
Energy above the most stable polymorph in this dataset (meV per atom): 1137



[4]
Computed, not measured: a geometry-optimized VTcP2Cl structure at the PBE level of DFT.

Lattice parameters (Å, degrees): 4.5943 4.5943 4.6417 90.00 90.00 90.00
Fractional coordinates of all 5 atoms:
1 V 0.0000 0.0000 0.0000
2 Tc 0.5000 0.5000 0.5000
3 P 0.0000 0.5000 0.0000
4 P 0.5000 0.0000 0.0000
5 Cl 0.0000 0.0000 0.5000

Uncorrected energy (eV/cell): -28.66
Energy above the most stable polymorph in this dataset (meV per atom): 0



[5]
Computed, not measured: a geometry-optimized VTcP2Cl structure at the PBE level of DFT.

Lattice parameters (Å, degrees): 4.5196 4.5196 5.0405 90.00 90.00 90.00
Fractional coordinates of all 5 atoms:
1 V 0.0000 0.0000 0.0000
2 Tc 0.5000 0.5000 0.5000
3 P 0.0000 0.5000 0.5000
4 P 0.5000 0.0000 0.5000
5 Cl 0.5000 0.5000 0.0000

Uncorrected energy (eV/cell): -27.94
Energy above the most stable polymorph in this dataset (meV per atom): 144



[6]
Computed, not measured: a geometry-optimized TcP2WCl structure at the PBE level of DFT.

Lattice parameters (Å, degrees): 4.5569 4.5569 4.8882 90.00 90.00 90.00
Fractional coordinates of all 5 atoms:
1 Tc 0.0000 0.0000 0.0000
2 P 0.0000 0.5000 0.0000
3 P 0.5000 0.0000 0.0000
4 W 0.5000 0.5000 0.5000
5 Cl 0.0000 0.0000 0.5000

Uncorrected energy (eV/cell): -29.65
Energy above the most stable polymorph in this dataset (meV per atom): 243



[7]
Computed, not measured: a geometry-optimized TcP2WCl structure at the PBE level of DFT.

Lattice parameters (Å, degrees): 4.7202 4.7202 4.7663 90.00 90.00 90.00
Fractional coordinates of all 5 atoms:
1 Tc 0.0000 0.0000 0.0000
2 P 0.0000 0.5000 0.5000
3 P 0.5000 0.0000 0.5000
4 W 0.5000 0.5000 0.5000
5 Cl 0.5000 0.5000 0.0000

Uncorrected energy (eV/cell): -30.86
Energy above the most stable polymorph in this dataset (meV per atom): 0



[8]
Computed, not measured: a geometry-optimized ZnTcP2Cl structure at the PBE level of DFT.

Lattice parameters (Å, degrees): 4.6189 4.6189 4.8307 90.00 90.00 90.00
Fractional coordinates of all 5 atoms:
1 Zn 0.0000 0.0000 0.0000
2 Tc 0.5000 0.5000 0.5000
3 P 0.0000 0.5000 0.0000
4 P 0.5000 0.0000 0.0000
5 Cl 0.0000 0.0000 0.5000

Uncorrected energy (eV/cell): -18.85
Energy above the most stable polymorph in this dataset (meV per atom): 769



[9]
Computed, not measured: a geometry-optimized ZnTcP2Cl structure at the PBE level of DFT.

Lattice parameters (Å, degrees): 4.5432 4.5432 5.1760 90.00 90.00 90.00
Fractional coordinates of all 5 atoms:
1 Zn 0.0000 0.0000 0.0000
2 Tc 0.5000 0.5000 0.5000
3 P 0.0000 0.5000 0.5000
4 P 0.5000 0.0000 0.5000
5 Cl 0.5000 0.5000 0.0000

Uncorrected energy (eV/cell): -22.70
Energy above the most stable polymorph in this dataset (meV per atom): 0



[10]
Computed, not measured: a geometry-optimized TePCl structure at the PBE level of DFT.

Lattice parameters (Å, degrees): 3.8166 4.1726 6.4276 83.93 89.65 89.99
Fractional coordinates of all 3 atoms:
1 Te 0.0000 0.0000 0.0000
2 P 0.4991 0.5932 0.0892
3 Cl 0.4960 0.5212 0.4130

Uncorrected energy (eV/cell): -10.93



[11]
Computed, not measured: a geometry-optimized TePCl structure at the PBE level of DFT.

Lattice parameters (Å, degrees): 3.2623 8.0531 8.1254 74.48 78.56 78.39
Fractional coordinates of all 6 atoms:
1 Te 0.0000 0.0000 0.0000
2 Te 0.0253 0.2993 0.6469
3 P 0.3494 0.7658 0.5334
4 P 0.9640 0.6127 0.4555
5 Cl 0.2450 0.7004 0.8110
6 Cl 0.8126 0.1973 0.1808

Uncorrected energy (eV/cell): -21.37



[12]
Computed, not measured: a geometry-optimized TePCl4 structure at the PBE level of DFT.

Lattice parameters (Å, degrees): 5.8168 5.8168 5.8168 60.00 60.00 60.00
Fractional coordinates of all 6 atoms:
1 Te 0.0000 0.0000 0.0000
2 P 0.2500 0.2500 0.2500
3 Cl 0.1257 0.6248 0.6248
4 Cl 0.6248 0.1257 0.6248
5 Cl 0.6248 0.6248 0.1257
6 Cl 0.6248 0.6248 0.6248

Uncorrected energy (eV/cell): -9.85